This record from Alexandria describes a relaxed LaCr4Cu3O12 crystal. The functional is PBEsol.

Structure (CIF):
```
data_LaCr4Cu3O12
_chemical_formula_sum 'La2 Cr8 Cu6 O24'
_space_group_name_H-M_alt 'I m -3'
_space_group_IT_number 204
_space_group_name_Hall '-I 2 2 3'
_cell_length_a 7.249
_cell_length_b 7.249
_cell_length_c 7.249
_cell_angle_alpha 90.00
_cell_angle_beta 90.00
_cell_angle_gamma 90.00
loop_
_atom_site_label
_atom_site_fract_x
_atom_site_fract_y
_atom_site_fract_z
_atom_site_occupancy
La1 0.000 0.000 0.000 1
Cr1 0.250 0.250 0.250 1
Cu1 0.000 0.000 0.500 1
O1 0.000 0.182 0.302 1
```

## Properties
The uncorrected energy is -7.88 eV/atom. The calculation puts the uncorrected formation energy at -1.763 eV/atom.

This record from Alexandria describes a relaxed LiCr2Cu crystal. The functional is PBEsol.

Structure (CIF):
```
data_LiCr2Cu
_chemical_formula_sum 'Li1 Cr2 Cu1'
_space_group_name_H-M_alt 'P 1 m 1'
_space_group_IT_number 6
_cell_length_a 2.320
_cell_length_b 3.908
_cell_length_c 5.033
_cell_angle_alpha 90.00
_cell_angle_beta 98.05
_cell_angle_gamma 90.00
loop_
_space_group_symop_operation_xyz
'x,y,z'
'x,-y,z'
loop_
_atom_site_label
_atom_site_fract_x
_atom_site_fract_y
_atom_site_fract_z
_atom_site_occupancy
Li1 0.000 0.000 0.000 1
Cr1 0.563 0.000 0.491 1
Cr2 0.782 0.500 0.275 1
Cu1 0.238 0.500 0.770 1
```

## Properties
The uncorrected energy is -6.34 eV/atom. The calculation puts the distance to the lowest polymorph of the same formula at 11.9 kJ/mol of atoms. The value obtained for the formation energy is 0.35 eV per atom.

This record from Alexandria describes a relaxed LiCr2Cu crystal. The functional is PBEsol.

Structure (CIF):
```
data_LiCr2Cu
_chemical_formula_sum 'Li1 Cr2 Cu1'
_space_group_name_H-M_alt 'P m m m'
_space_group_IT_number 47
_cell_length_a 2.300
_cell_length_b 4.232
_cell_length_c 4.596
_cell_angle_alpha 90.00
_cell_angle_beta 90.00
_cell_angle_gamma 90.00
loop_
_space_group_symop_operation_xyz
'x,y,z'
'-x,-y,-z'
'-x,-y,z'
'x,y,-z'
'x,-y,-z'
'-x,y,z'
'-x,y,-z'
'x,-y,z'
loop_
_atom_site_label
_atom_site_fract_x
_atom_site_fract_y
_atom_site_fract_z
_atom_site_occupancy
Li1 0.000 0.000 0.000 1
Cr1 0.500 0.500 0.251 1
Cu1 0.000 0.000 0.500 1
```

## Properties
The uncorrected energy is -6.28 eV/atom. The calculation puts the distance to the lowest polymorph of the same formula at 18.4 kJ/mol of atoms. The value obtained for the formation energy is 0.42 eV per atom.

This record from Alexandria describes a relaxed LiCr2Cu crystal. The functional is PBEsol.

Structure (CIF):
```
data_LiCr2Cu
_chemical_formula_sum 'Li2 Cr4 Cu2'
_space_group_name_H-M_alt 'C m m 2'
_space_group_IT_number 35
_cell_length_a 2.799
_cell_length_b 3.911
_cell_length_c 8.521
_cell_angle_alpha 90.00
_cell_angle_beta 90.00
_cell_angle_gamma 90.00
loop_
_space_group_symop_operation_xyz
'x,y,z'
'-x,-y,z'
'-x,y,z'
'x,-y,z'
'x+1/2,y+1/2,z'
'-x+1/2,-y+1/2,z'
'-x+1/2,y+1/2,z'
'x+1/2,-y+1/2,z'
loop_
_atom_site_label
_atom_site_fract_x
_atom_site_fract_y
_atom_site_fract_z
_atom_site_occupancy
Li1 0.000 0.000 0.000 1
Cr1 0.000 0.000 0.503 1
Cr2 0.000 0.500 0.272 1
Cu1 0.000 0.500 0.749 1
```

## Properties
The uncorrected energy is -6.47 eV/atom. The calculation puts the distance to the lowest polymorph of the same formula at 0.0 kJ/mol of atoms. The value obtained for the formation energy is 0.23 eV per atom.

This record from Alexandria describes a relaxed LiCr2Cu crystal. The functional is PBEsol.

Structure (CIF):
```
data_LiCr2Cu
_chemical_formula_sum 'Li2 Cr4 Cu2'
_space_group_name_H-M_alt 'I 4/m m m'
_space_group_IT_number 139
_space_group_name_Hall '-I 4 2'
_cell_length_a 3.255
_cell_length_b 3.255
_cell_length_c 8.341
_cell_angle_alpha 90.00
_cell_angle_beta 90.00
_cell_angle_gamma 90.00
loop_
_atom_site_label
_atom_site_fract_x
_atom_site_fract_y
_atom_site_fract_z
_atom_site_occupancy
Li1 0.000 0.000 0.000 1
Cr1 0.000 0.500 0.250 1
Cu1 0.000 0.000 0.500 1
```

## Properties
The uncorrected energy is -6.29 eV/atom. The calculation puts the distance to the lowest polymorph of the same formula at 17.5 kJ/mol of atoms. The value obtained for the formation energy is 0.41 eV per atom.

This record from Alexandria describes a relaxed Li4Mn3Cr3Cu2O16 crystal. The functional is PBEsol.

Structure (CIF):
```
data_Li4Mn3Cr3Cu2O16
_chemical_formula_sum 'Li8 Mn6 Cr6 Cu4 O32'
_space_group_name_H-M_alt 'C 1 m 1'
_space_group_IT_number 8
_cell_length_a 9.876
_cell_length_b 5.641
_cell_length_c 9.492
_cell_angle_alpha 90.00
_cell_angle_beta 91.91
_cell_angle_gamma 90.00
loop_
_space_group_symop_operation_xyz
'x,y,z'
'x,-y,z'
'x+1/2,y+1/2,z'
'x+1/2,-y+1/2,z'
loop_
_atom_site_label
_atom_site_fract_x
_atom_site_fract_y
_atom_site_fract_z
_atom_site_occupancy
Li1 0.000 0.000 0.000 1
Li2 0.012 0.000 0.499 1
Li3 0.162 0.500 0.100 1
Li4 0.322 0.000 0.603 1
Mn1 0.077 0.254 0.781 1
Mn2 0.169 0.000 0.281 1
Cr1 0.325 0.500 0.786 1
Cr2 0.416 0.242 0.284 1
Cu1 0.167 0.500 0.503 1
Cu2 0.329 0.000 0.002 1
O1 0.004 0.500 0.672 1
O2 0.084 0.243 0.389 1
O3 0.154 0.000 0.891 1
O4 0.159 0.500 0.890 1
O5 0.228 0.277 0.667 1
O6 0.256 0.223 0.168 1
O7 0.332 0.000 0.394 1
O8 0.349 0.500 0.385 1
O9 0.415 0.263 0.889 1
O10 0.480 0.000 0.164 1
O11 0.491 0.500 0.682 1
O12 0.499 0.500 0.185 1
```

## Properties
The uncorrected energy is -7.42 eV/atom. The calculation puts the uncorrected formation energy at -1.684 eV/atom.

This record from Alexandria describes a relaxed Li2CrCuO4 crystal. The functional is PBEsol.

Structure (CIF):
```
data_Li2CrCuO4
_chemical_formula_sum 'Li2 Cr1 Cu1 O4'
_space_group_name_H-M_alt 'P 1 2/m 1'
_space_group_IT_number 10
_cell_length_a 5.187
_cell_length_b 2.799
_cell_length_c 5.510
_cell_angle_alpha 90.00
_cell_angle_beta 117.70
_cell_angle_gamma 90.00
loop_
_space_group_symop_operation_xyz
'x,y,z'
'-x,-y,-z'
'-x,y,-z'
'x,-y,z'
loop_
_atom_site_label
_atom_site_fract_x
_atom_site_fract_y
_atom_site_fract_z
_atom_site_occupancy
Li1 0.000 0.000 0.000 1
Li2 0.500 0.500 0.500 1
Cr1 0.000 0.000 0.500 1
Cu1 0.500 0.500 0.000 1
O1 0.047 0.500 0.287 1
O2 0.413 0.000 0.732 1
```

## Properties
The uncorrected energy is -6.58 eV/atom. The calculation puts the distance to the lowest polymorph of the same formula at 0.0 kJ/mol of atoms. The calculation puts the uncorrected formation energy at -1.638 eV/atom.

This record from Alexandria describes a relaxed Li4CrCu3O8 crystal. The functional is PBEsol.

Structure (CIF):
```
data_Li4CrCu3O8
_chemical_formula_sum 'Li12 Cr3 Cu9 O24'
_space_group_name_H-M_alt 'R -3 m'
_space_group_IT_number 166
_space_group_name_Hall '-R 3 2"'
_cell_length_a 5.8107
_cell_length_b 5.8107
_cell_length_c 14.0518
_cell_angle_alpha 90.00
_cell_angle_beta 90.00
_cell_angle_gamma 120.00
loop_
_atom_site_label
_atom_site_fract_x
_atom_site_fract_y
_atom_site_fract_z
_atom_site_occupancy
Li1 0.0000 0.0000 0.0000 1
Li2 0.0000 0.5000 0.0000 1
Cr1 0.0000 0.0000 0.5000 1
Cu1 0.0000 0.5000 0.5000 1
O1 0.0000 0.0000 0.2416 1
O2 0.0205 0.5103 0.2430 1
```

## Properties
The uncorrected energy is -5.92 eV/atom. The calculation puts the uncorrected formation energy at -1.350 eV/atom.